Entry from the Alexandria database: an optimized crystal structure of KTlHgTe3 (GGA-PBE).

```
KTlHgTe3
1.0
8.424 0.000 0.000
0.000 4.435 0.000
-3.057 0.000 11.622
K Tl Hg Te
2 2 2 6
Direct
0.207 0.250 0.177
0.793 0.750 0.823
0.200 0.750 0.582
0.800 0.250 0.418
0.418 0.250 0.868
0.582 0.750 0.132
0.019 0.750 0.340
0.257 0.750 0.949
0.460 0.250 0.640
0.540 0.750 0.360
0.743 0.250 0.051
0.981 0.250 0.660
```

Output
Space-group type = No. 11
Magnetic moment = 0.0 μB per cell
Uncorrected formation energy = -0.321 eV/atom